# 1
Material: BeIn2Ru
Method: DFT, GGA-PBE
State: optimized geometry

Computed properties:
DFT total energy (eV for the cell shown): -34.638
Spin magnetization (μB/atom): 0.000
Calculated volume (Å³ per cell): 133.15
ΔE_f (eV/atom): 0.29

a b c (Å): 5.973 6.695 3.329
angles (deg): 90.00 90.00 90.00
Space group Cmmm (No. 65)
Asymmetric unit:
1 Be 0.000 0.000 0.000 (multiplicity 2)
2 In 0.250 0.250 0.500 (multiplicity 4)
3 Ru 0.000 0.500 0.000 (multiplicity 2)

# 2
Material: LiPdPt
Method: DFT, GGA-PBE
State: optimized geometry

Computed properties:
DFT total energy (eV for the cell shown): -27.522
Spin magnetization (μB/atom): 0.000
Calculated volume (Å³ per cell): 89.68
Distance to the lowest polymorph of the same formula (meV per atom): 222
ΔE_f (eV/atom): -0.20

a b c (Å): 5.055 2.704 6.559
angles (deg): 90.00 90.00 90.00
Space group Pmma (No. 51)
Asymmetric unit:
1 Li 0.250 0.000 0.198 (multiplicity 2)
2 Pd 0.000 0.500 0.500 (multiplicity 2)
3 Pt 0.250 0.500 0.861 (multiplicity 2)

# 3
Material: Mn2GaSn
Method: DFT, GGA-PBE
State: optimized geometry

Computed properties:
DFT total energy (eV for the cell shown): -24.909
Spin magnetization (μB/atom): 1.294
Calculated volume (Å³ per cell): 61.64
Distance to the lowest polymorph of the same formula (meV per atom): 0
ΔE_f (eV/atom): 0.11

a b c (Å): 4.011 4.011 3.832
angles (deg): 90.00 90.00 90.00
Space group P4/mmm (No. 123)
Asymmetric unit:
1 Mn 0.000 0.500 0.000 (multiplicity 2)
2 Ga 0.000 0.000 0.500 (multiplicity 1)
3 Sn 0.500 0.500 0.500 (multiplicity 1)

Q: DFT total energy of number 3 (Mn2GaSn)?
A: -24.909 eV for the cell shown

Q: The lowest DFT total energy belongs to which entry?
A: BeIn2Ru